(1)
Here is an optimized crystal structure of La2Pm2Pr4Mg from Alexandria via LeMat-Bulk. Energies are from GGA-PBE.

Unit cell a=6.6355 b=6.6671 c=7.6872 alpha=75.12 beta=75.71 gamma=85.60
With the nearest neighbours (Å) after each atom.
Space group P-1 (No. 2)
Asymmetric unit:
La1 0.1863 0.1253 0.2855  1 Mg 3.33, 4 Pr 3.57-3.71, 2 Pm 3.58, 1 La 3.68
Pm1 0.3718 0.7055 0.6041  1 Mg 3.27, 2 La 3.58, 3 Pr 3.61-3.65, 1 Pm 3.63
Pr1 0.2113 0.1687 0.8076  1 Mg 3.30, 1 La 3.57, 3 Pr 3.57-3.66, 2 Pm 3.61-3.64
Pr2 0.3219 0.6687 0.0952  1 Mg 3.29, 4 Pr 3.46-3.66, 2 La 3.63-3.67, 1 Pm 3.65
Mg1 0.0000 0.5000 0.5000  2 Pm 3.27, 4 Pr 3.29-3.30, 2 La 3.33

Results
Energy = -0.322 Ry per atom
Energy of formation = 0.07 eV per atom

***

(2)
Here is an optimized crystal structure of Al2CdPd7 from Alexandria via LeMat-Bulk. Energies are from GGA-PBE.

Unit cell a=7.2909 b=12.1337 c=4.3908 alpha=90.00 beta=90.00 gamma=90.00
With the nearest neighbours (Å) after each atom.
Space group Cmmm (No. 65)
Asymmetric unit:
Al1 0.0000 0.1995 0.0000  7 Pd 2.39-2.58
Cd1 0.0000 0.5000 0.5000  10 Pd 2.71-2.98
Pd1 0.0000 0.0000 0.0000  2 Al 2.42, 4 Pd 2.70
Pd2 0.0000 0.2770 0.5000  2 Al 2.39
Pd3 0.1895 0.3786 0.0000  2 Al 2.45-2.58, 1 Pd 2.70

Results
Energy = -0.339 Ry per atom
Energy of formation = -0.14 eV per atom

***

(3)
Here is an optimized crystal structure of AcSnGePt3 from Alexandria via LeMat-Bulk. Energies are from GGA-PBE.

Unit cell a=5.7702 b=16.1277 c=6.2968 alpha=90.00 beta=90.00 gamma=90.00
With the nearest neighbours (Å) after each atom.
Space group Cmcm (No. 63)
Asymmetric unit:
Ac1 0.0000 0.1926 0.2500  2 Pt 2.98
Sn1 0.0000 0.0983 0.7500  5 Pt 2.63-2.67
Ge1 0.0000 0.4153 0.7500  5 Pt 2.48-2.52
Pt1 0.0000 0.2615 0.7500  1 Ge 2.48, 1 Sn 2.63
Pt2 0.2455 0.5000 0.0000  2 Ge 2.52, 2 Sn 2.67

Results
Energy = -0.429 Ry per atom
Energy of formation = -0.70 eV per atom

***

(4)
Here is an optimized crystal structure of Cs4PbO4 from Alexandria via LeMat-Bulk. Energies are from GGA-PBE.

Unit cell a=9.3277 b=9.3277 c=6.0302 alpha=90.00 beta=90.00 gamma=90.00
With the nearest neighbours (Å) after each atom.
Space group I4/m (No. 87)
Asymmetric unit:
Cs1 0.1187 0.6947 0.0000  4 O 2.89-3.15
Pb1 0.0000 0.0000 0.5000  4 O 2.15
O1 0.0695 0.7797 0.5000  1 Pb 2.15

Results
Energy = -0.299 Ry per atom
ΔE to the lowest computed polymorph = 141.9 meV per atom
E_form (uncorrected) = -1.074 eV per atom

***

(5)
Here is an optimized crystal structure of HfSc2Sn2 from Alexandria via LeMat-Bulk. Energies are from GGA-PBE.

Unit cell a=7.6643 b=7.6643 c=3.9543 alpha=90.00 beta=90.00 gamma=90.00
With the nearest neighbours (Å) after each atom.
Space group P4/mbm (No. 127)
Asymmetric unit:
Hf1 0.0000 0.0000 0.0000  4 Sn 2.97
Sc1 0.1669 0.3331 0.5000  6 Sn 2.89-3.07
Sn1 0.1380 0.6380 0.0000  6 Sc 2.89-3.07, 2 Hf 2.97, 1 Sn 2.99

Results
Energy = -0.484 Ry per atom
ΔE to the lowest computed polymorph = 0.0 meV per atom
Energy of formation = -0.47 eV per atom

***

(6)
Here is an optimized crystal structure of Pm5Ga2Os from Alexandria via LeMat-Bulk. Energies are from GGA-PBE.

Unit cell a=7.7659 b=12.1133 c=4.6622 alpha=90.00 beta=90.00 gamma=90.00
With the nearest neighbours (Å) after each atom.
Space group Pbam (No. 55)
Asymmetric unit:
Pm1 0.0000 0.0000 0.0000  4 Ga 3.13, 4 Pm 3.49
Pm2 0.1482 0.2929 0.0000  1 Os 2.76
Pm3 0.1858 0.5751 0.5000  2 Os 2.89, 1 Ga 3.18
Ga1 0.0690 0.8331 0.5000  9 Pm 3.13-3.49
Os1 0.0000 0.5000 0.0000  6 Pm 2.76-2.89

Results
Energy = -0.404 Ry per atom
Energy of formation = -0.36 eV per atom

***

(7)
Here is an optimized crystal structure of SiNi2Rh from Alexandria via LeMat-Bulk. Energies are from GGA-PBE.

Unit cell a=3.4640 b=3.4640 c=17.3423 alpha=90.00 beta=90.00 gamma=90.00
With the nearest neighbours (Å) after each atom.
Space group I-42d (No. 122)
Asymmetric unit:
Si1 0.0000 0.0000 0.0000  4 Rh 2.45, 4 Ni 2.47
Ni1 0.2346 0.2500 0.1250  4 Ni 2.38-2.53, 2 Si 2.47, 2 Rh 2.51
Rh1 0.0000 0.0000 0.5000  4 Si 2.45, 4 Ni 2.51

Results
Energy = -0.450 Ry per atom
E_form (uncorrected) = -0.031 eV per atom

***

(8)
Here is an optimized crystal structure of Tc2B2I from Alexandria via LeMat-Bulk. Energies are from GGA-PBE.

Unit cell a=4.1640 b=4.1640 c=7.5459 alpha=90.00 beta=90.00 gamma=90.00
With the nearest neighbours (Å) after each atom.
Space group I4/mmm (No. 139)
Asymmetric unit:
Tc1 0.0000 0.5000 0.2500  4 B 2.31
B1 0.0000 0.0000 0.1170  1 B 1.77
I1 0.0000 0.0000 0.5000  8 Tc 2.81, 10 B 2.89-3.07

Results
Energy = -0.481 Ry per atom
ΔE to the lowest computed polymorph = 106.4 meV per atom
E_form (uncorrected) = 0.589 eV per atom

***

(9)
Here is an optimized crystal structure of CaZnF2 from Alexandria via LeMat-Bulk. Energies are from GGA-PBE.

Unit cell a=10.5828 b=10.5828 c=10.5828 alpha=90.00 beta=90.00 gamma=90.00
With the nearest neighbours (Å) after each atom.
Space group Fd-3m (No. 227, origin choice 2)
Asymmetric unit:
Ca1 0.0000 0.0000 0.0000  6 F 2.35
Zn1 0.0000 0.0000 0.5000  6 F 3.03
F1 0.0328 0.0328 0.2172  3 Ca 2.35

Results
Energy = -0.314 Ry per atom
ΔE to the lowest computed polymorph = 109.3 meV per atom
E_form (uncorrected) = -2.516 eV per atom

***

(10)
Here is an optimized crystal structure of TeRh2Pb from Alexandria via LeMat-Bulk. Energies are from GGA-PBE.

Unit cell a=4.2322 b=4.2322 c=18.3465 alpha=90.00 beta=90.00 gamma=120.00
With the nearest neighbours (Å) after each atom.
Space group R3m (No. 160, hexagonal axes)
Asymmetric unit:
Te1 0.0000 0.0000 0.0000  3 Rh 2.71
Rh1 0.0000 0.0000 0.2697  3 Rh 2.54, 3 Te 2.71
Rh2 0.0000 0.0000 0.5662  3 Rh 2.54
Pb1 0.0000 0.0000 0.8158  3 Rh 2.89

Results
Energy = -0.395 Ry per atom
ΔE to the lowest computed polymorph = 247.5 meV per atom
E_form (uncorrected) = 0.013 eV per atom

***

(11)
Here is an optimized crystal structure of CsDyBeTe3 from Alexandria via LeMat-Bulk. Energies are from GGA-PBE.

Unit cell a=16.9658 b=5.2022 c=9.9327 alpha=90.00 beta=102.81 gamma=90.00
With the nearest neighbours (Å) after each atom.
Space group C2/m (No. 12)
Asymmetric unit:
Cs1 0.1438 0.0000 0.0537  7 Te 3.75-3.99
Dy1 0.1466 0.0000 0.5605  7 Te 3.07-3.35
Be1 0.0105 0.5000 0.3025  4 Te 2.50-2.60
Te1 0.0052 0.0000 0.3065  2 Be 2.60
Te2 0.1405 0.5000 0.7478  1 Be 2.50
Te3 0.1658 0.5000 0.3579  1 Be 2.57

Results
Energy = -0.283 Ry per atom
E_form (uncorrected) = -0.751 eV per atom

***

(12)
Here is an optimized crystal structure of Ce6P17Pd6 from Alexandria via LeMat-Bulk. Energies are from GGA-PBE.

Unit cell a=10.3058 b=10.3058 c=10.3058 alpha=90.00 beta=90.00 gamma=90.00
With the nearest neighbours (Å) after each atom.
Space group I-43m (No. 217)
Asymmetric unit:
Ce1 0.0000 0.0000 0.2835  7 P 2.92-3.16
P1 0.0000 0.0000 0.0000  6 Ce 2.92
P2 0.0738 0.2869 0.7131  1 P 2.22, 2 Pd 2.35
P3 0.2104 0.2104 0.2104  3 P 2.22
Pd1 0.0000 0.2500 0.5000  4 P 2.35

Results
Energy = -0.463 Ry per atom
Energy of formation = -0.83 eV per atom

***

(13)
Here is an optimized crystal structure of LaTbPa2Rh4 from Alexandria via LeMat-Bulk. Energies are from GGA-PBE.

Unit cell a=7.6413 b=11.0833 c=8.4700 alpha=90.00 beta=90.00 gamma=90.00
With the nearest neighbours (Å) after each atom.
Space group Fmm2 (No. 42)
Asymmetric unit:
La1 0.0000 0.0000 0.0000  6 Rh 2.83-2.96
Tb1 0.0000 0.0000 0.5792  6 Rh 2.74-2.91
Pa1 0.2500 0.2500 0.2394  6 Rh 2.79-2.92
Rh1 0.0000 0.2350 0.4792  1 Tb 2.74, 4 Pa 2.79-2.92, 1 La 2.94
Rh2 0.1960 0.0000 0.2841  2 Pa 2.83, 2 La 2.83-2.96, 2 Tb 2.90-2.91, 1 Rh 3.00

Results
Energy = -0.582 Ry per atom
Energy of formation = -0.68 eV per atom

***

(14)
Here is an optimized crystal structure of CeLuOs2 from Alexandria via LeMat-Bulk. Energies are from GGA-PBE.

Unit cell a=4.8164 b=4.8164 c=3.3920 alpha=90.00 beta=90.00 gamma=90.00
With the nearest neighbours (Å) after each atom.
Space group P4/mmm (No. 123)
Asymmetric unit:
Ce1 0.0000 0.0000 0.0000  8 Os 2.95
Lu1 0.5000 0.5000 0.0000  8 Os 2.95
Os1 0.0000 0.5000 0.5000  4 Ce 2.95, 4 Lu 2.95

Results
Energy = -0.620 Ry per atom
Energy of formation = -0.21 eV per atom

***

(15)
Here is an optimized crystal structure of MgTe3 from Alexandria via LeMat-Bulk. Energies are from GGA-PBE.

Unit cell a=4.0765 b=4.0848 c=8.8272 alpha=90.00 beta=90.00 gamma=90.00
With the nearest neighbours (Å) after each atom.
Space group Pmm2 (No. 25)
Asymmetric unit:
Mg1 0.0000 0.0000 0.0000  4 Te 2.89
Te1 0.0000 0.5000 0.5366  4 Te 3.02
Te2 0.5000 0.0000 0.4370  4 Te 3.02
Te3 0.5000 0.5000 0.9897  4 Mg 2.89

Results
Energy = -0.216 Ry per atom
E_form (uncorrected) = -0.179 eV per atom

***

(16)
Here is an optimized crystal structure of Tm3Zn2Cu9 from Alexandria via LeMat-Bulk. Energies are from GGA-PBE.

Unit cell a=4.1425 b=8.7583 c=12.2476 alpha=90.00 beta=90.00 gamma=90.00
With the nearest neighbours (Å) after each atom.
Space group Immm (No. 71)
Asymmetric unit:
Tm1 0.0000 0.0000 0.0000  12 Cu 2.93-3.19
Tm2 0.0000 0.0000 0.2988  12 Cu 2.88-3.22, 2 Zn 3.03
Zn1 0.0000 0.2010 0.5000  8 Cu 2.51-2.72
Cu1 0.0000 0.2832 0.1278  4 Cu 2.46-2.56, 2 Zn 2.60
Cu2 0.0000 0.3593 0.3296  4 Cu 2.46-2.56, 1 Zn 2.51
Cu3 0.0000 0.5000 0.0000  4 Cu 2.46, 4 Zn 2.72

Results
Energy = -0.295 Ry per atom
Energy of formation = -0.23 eV per atom

***

(17)
Here is an optimized crystal structure of Mn2Zn from Alexandria via LeMat-Bulk. Energies are from GGA-PBE.

Unit cell a=10.9101 b=2.7122 c=5.4323 alpha=90.00 beta=104.99 gamma=90.00
With the nearest neighbours (Å) after each atom.
Space group Cm (No. 8)
Asymmetric unit:
Mn1 0.0000 0.0000 0.0000  8 Mn 2.58-2.80, 4 Zn 2.60
Mn2 0.0043 0.0000 0.5175  7 Mn 2.49-2.71, 4 Zn 2.59
Mn3 0.1562 0.5000 0.3481  8 Mn 2.49-2.71, 4 Zn 2.68-2.76
Mn4 0.3317 0.0000 0.6605  8 Mn 2.59-2.71, 4 Zn 2.63-2.81
Zn1 0.1707 0.5000 0.8490  8 Mn 2.59-2.76, 4 Zn 2.60-2.71
Zn2 0.3393 0.0000 0.1814  8 Mn 2.59-2.81, 4 Zn 2.60-2.71

Results
Energy = -0.472 Ry per atom
Energy of formation = 0.12 eV per atom

***

(18)
Here is an optimized crystal structure of Ni2Bi6Ir from Alexandria via LeMat-Bulk. Energies are from GGA-PBE.

Unit cell a=6.7858 b=6.5619 c=11.7997 alpha=90.00 beta=121.43 gamma=90.00
With the nearest neighbours (Å) after each atom.
Space group P2_1/c (No. 14)
Asymmetric unit:
Ni1 0.1737 0.1756 0.1931  6 Bi 2.68-2.88, 1 Ir 2.88
Bi1 0.1406 0.1311 0.9407  2 Ni 2.75-2.88, 1 Ir 2.82
Bi2 0.2478 0.6142 0.8831  1 Ir 2.78, 2 Ni 2.78-2.87
Bi3 0.4021 0.5298 0.2470  2 Ni 2.68-2.75, 1 Ir 2.77
Ir1 0.0000 0.0000 0.5000  6 Bi 2.77-2.82, 2 Ni 2.88

Results
Energy = -0.351 Ry per atom
Energy of formation = 0.09 eV per atom

***

(19)
Here is an optimized crystal structure of RbBa2Ga2S6 from Alexandria via LeMat-Bulk. Energies are from GGA-PBE.

Unit cell a=6.7640 b=8.1278 c=8.1999 alpha=103.79 beta=107.42 gamma=113.91
With the nearest neighbours (Å) after each atom.
Space group P-1 (No. 2)
Asymmetric unit:
Rb1 0.0000 0.0000 0.0000  6 S 3.27-3.49
Ba1 0.4648 0.2587 0.6627  6 S 3.12-3.39
Ga1 0.0813 0.4484 0.6678  4 S 2.24-2.39
S1 0.1308 0.3915 0.3870  2 Ga 2.31-2.39
S2 0.1319 0.8434 0.3267  1 Ga 2.24
S3 0.4587 0.6328 0.9156  1 Ga 2.29

Results
Energy = -0.327 Ry per atom
E_form (uncorrected) = -1.211 eV per atom

***

(20)
Here is an optimized crystal structure of AgB2Br from Alexandria via LeMat-Bulk. Energies are from GGA-PBE.

Unit cell a=6.3439 b=6.3439 c=6.3439 alpha=90.00 beta=90.00 gamma=90.00
With the nearest neighbours (Å) after each atom.
Space group Fm-3m (No. 225)
Asymmetric unit:
Ag1 0.0000 0.0000 0.0000  8 B 2.75
B1 0.2500 0.2500 0.2500  4 Br 2.75, 4 Ag 2.75
Br1 0.0000 0.0000 0.5000  8 B 2.75

Results
Energy = -0.178 Ry per atom
ΔE to the lowest computed polymorph = 590.3 meV per atom
E_form (uncorrected) = 2.050 eV per atom